1.
Entry from Alexandria: crystalline Tb3PrTm8 at its relaxed geometry (PBE-GGA).

a b c (Å): 8.377 8.377 8.377
angles (deg): 99.74 96.21 136.26
Atoms (fractional coordinates):
Tb  0.000  0.000  0.000
Tb  0.086  0.335  0.751
Tb  0.584  0.335  0.249
Pr  0.500  0.000  0.500
Tm  0.002  0.333  0.332
Tm  0.002  0.670  0.668
Tm  0.081  0.000  0.416
Tm  0.081  0.665  0.081
Tm  0.502  0.336  0.834
Tm  0.502  0.668  0.166
Tm  0.584  0.000  0.919
Tm  0.584  0.665  0.584

The symmetry is Imm2. For the formation energy, the calculation gives 0.0085 eV/atom.

2.
Entry from Alexandria: crystalline Tb5PrTm7 at its relaxed geometry (PBE-GGA).

a b c (Å): 8.627 8.627 8.627
angles (deg): 134.55 100.80 96.37
Atoms (fractional coordinates):
Tb  0.000  0.000  0.000
Tb  0.275  0.236  0.503
Tb  0.275  0.772  0.039
Tb  0.733  0.236  0.961
Tb  0.733  0.772  0.497
Pr  0.301  0.801  0.500
Tm  0.085  0.254  0.831
Tm  0.423  0.254  0.169
Tm  0.504  0.504  0.000
Tm  0.583  0.751  0.832
Tm  0.693  0.193  0.500
Tm  0.919  0.751  0.168
Tm  0.997  0.497  0.500

The symmetry is Imm2. For the formation energy, the calculation gives 0.2511 eV/atom.

In the order shown, the computed DOS at the Fermi energy values come out to 1.803 1.680 states/eV per atom.